1) SrAg2Mo | PBE-GGA | relaxed

Cell lengths 3.060, 3.060, 8.863 Å; angles 90.00, 90.00, 90.00 degrees
Space group P4/mmm (No. 123)
Unique sites:
Sr  0.000  0.000  0.000 x1
Ag  0.500  0.500  0.285 x2
Mo  0.000  0.000  0.500 x1

crystal system	tetragonal
volume	83.0	Å³/f.u.

2) SrAg2Mo | PBE-GGA | relaxed

Cell lengths 2.990, 2.990, 9.234 Å; angles 90.00, 90.00, 90.00 degrees
Space group P4mm (No. 99)
Unique sites:
Sr  0.000  0.000  0.000 x1
Ag  0.000  0.000  0.506 x1
Ag  0.500  0.500  0.285 x1
Mo  0.500  0.500  0.723 x1

crystal system	tetragonal
volume	82.5	Å³/f.u.

3) SrAg2Mo | PBE-GGA | relaxed

Cell lengths 7.179, 7.179, 7.179 Å; angles 90.00, 90.00, 90.00 degrees
Space group Fm-3m (No. 225)
Unique sites:
Sr  0.000  0.000  0.000 x4
Ag  0.250  0.250  0.250 x8
Mo  0.000  0.000  0.500 x4

crystal system	cubic
volume	92.5	Å³/f.u.

Which structure loses on stability? 3) does.